{"formula": "Rb2MgVI6", "functional": "PBE", "state": "relaxed", "e_tot_ev_per_atom": -3.15, "e_form_raw_ev_per_atom": -0.954, "dos_at_fermi_per_ev_atom": 0.00, "lattice_angstrom": [[0.000, 5.810, 5.810], [5.810, 0.000, 5.810], [5.810, 5.810, 0.000]], "species": ["Rb", "Rb", "Mg", "V", "I", "I", "I", "I", "I", "I"], "frac_coords": [[0.250, 0.250, 0.250], [0.750, 0.750, 0.750], [0.000, 0.000, 0.000], [0.500, 0.500, 0.500], [0.253, 0.253, 0.747], [0.253, 0.747, 0.253], [0.253, 0.747, 0.747], [0.747, 0.253, 0.253], [0.747, 0.253, 0.747], [0.747, 0.747, 0.253]]}


{"formula": "Y3ThSc8", "functional": "PBE", "state": "relaxed", "e_tot_ev_per_atom": -5.76, "formation_enthalpy_0k_ev_per_atom": 0.696, "dos_at_fermi_per_ev_atom": 1.74, "lattice_angstrom": [[-4.173, 4.173, 5.279], [4.173, -4.173, 5.279], [4.173, 4.173, -5.279]], "species": ["Y", "Y", "Y", "Th", "Sc", "Sc", "Sc", "Sc", "Sc", "Sc", "Sc", "Sc"], "frac_coords": [[0.000, 0.000, 0.000], [0.250, 0.750, 0.500], [0.750, 0.250, 0.500], [0.500, 0.500, 0.000], [0.122, 0.122, 0.752], [0.221, 0.221, 0.481], [0.260, 0.779, 0.000], [0.370, 0.370, 0.248], [0.630, 0.878, 0.000], [0.740, 0.740, 0.519], [0.779, 0.260, 0.000], [0.878, 0.630, 0.000]]}


{"formula": "MgScTa", "functional": "PBE", "state": "relaxed", "e_tot_ev_per_atom": -6.44, "de_polymorph_mev_per_atom": 94, "formation_enthalpy_0k_ev_per_atom": 0.154, "dos_at_fermi_per_ev_atom": 0.98, "lattice_angstrom": [[11.389, 0.000, 0.000], [0.000, 3.030, 0.000], [-2.036, 0.000, 7.363]], "species": ["Mg", "Mg", "Mg", "Mg", "Sc", "Sc", "Sc", "Sc", "Ta", "Ta", "Ta", "Ta"], "frac_coords": [[0.000, 0.000, 0.000], [0.230, 0.500, 0.959], [0.500, 0.500, 0.000], [0.730, 0.000, 0.959], [0.054, 0.000, 0.625], [0.392, 0.000, 0.297], [0.554, 0.500, 0.625], [0.892, 0.500, 0.297], [0.173, 0.500, 0.358], [0.316, 0.000, 0.644], [0.673, 0.000, 0.358], [0.816, 0.500, 0.644]]}


{"formula": "BeReHgSe2", "functional": "PBE", "state": "relaxed", "e_tot_ev_per_atom": -2.98, "e_form_raw_ev_per_atom": 1.709, "dos_at_fermi_per_ev_atom": 0.51, "lattice_angstrom": [[5.377, 0.000, 0.000], [0.000, 5.377, 0.000], [0.000, 0.000, 4.349]], "species": ["Be", "Re", "Hg", "Se", "Se"], "frac_coords": [[0.000, 0.000, 0.000], [0.500, 0.500, 0.000], [0.000, 0.000, 0.500], [0.000, 0.500, 0.500], [0.500, 0.000, 0.500]]}